Record 1
# Pr4HoEr2Tm

Crystalline Pr4HoEr2Tm at its relaxed geometry (GGA-PBE, the Alexandria database).

Its theoretical density is 7.70 g/cm³. For the formation energy, the calculation gives 0.01 eV per atom. The crystal system is monoclinic. As for the calculated total energy: -4.654 eV per atom.

It has space group P2/m (No. 10), with a = 5.145 Å, b = 5.177 Å, c = 9.977 Å, α = 90.00°, β = 90.01° and γ = 90.00°. The distinct sites, in fractional coordinates, are Pr at (0.000, 0.000, 0.249), Pr at (0.498, 0.500, 0.751), Ho at (0.000, 0.500, 0.500), Er at (0.000, 0.500, 0.000), Er at (0.500, 0.000, 0.500) and Tm at (0.500, 0.000, 0.000).

Record 2
# Pr2HoErTm

Crystalline Pr2HoErTm at its relaxed geometry (GGA-PBE, the Alexandria database).

Its theoretical density is 7.31 g/cm³. For the formation energy, the calculation gives 0.43 eV per atom. The crystal system is orthorhombic. As for the calculated total energy: -4.207 eV per atom.

It has space group Cmcm (No. 63), with a = 8.467 Å, b = 11.465 Å, c = 7.324 Å, α = 90.00°, β = 90.00° and γ = 90.00°. The distinct sites, in fractional coordinates, are Pr at (0.196, 0.000, 0.000), Ho at (0.000, 0.226, 0.250), Er at (0.000, 0.229, 0.750) and Tm at (0.000, 0.497, 0.250).

Record 3
# Pr2HoEr2Tm2

Crystalline Pr2HoEr2Tm2 at its relaxed geometry (GGA-PBE, the Alexandria database).

Its theoretical density is 8.15 g/cm³. For the formation energy, the calculation gives 0.09 eV per atom. The crystal system is monoclinic. As for the calculated total energy: -4.514 eV per atom.

It has space group C2/m (No. 12), with a = 11.686 Å, b = 3.503 Å, c = 11.785 Å, α = 90.00°, β = 109.07° and γ = 90.00°. The distinct sites, in fractional coordinates, are Pr at (0.172, 0.000, 0.086), Ho at (0.000, 0.500, 0.500), Er at (0.049, 0.000, 0.768) and Tm at (0.227, 0.500, 0.366).

Record 4
# PrHoEr2Tm6

Crystalline PrHoEr2Tm6 at its relaxed geometry (GGA-PBE, the Alexandria database).

Its theoretical density is 8.76 g/cm³. For the formation energy, the calculation gives 0.12 eV per atom. The crystal system is monoclinic. As for the calculated total energy: -4.407 eV per atom.

It has space group C2/c (No. 15), with a = 9.034 Å, b = 14.899 Å, c = 9.364 Å, α = 90.00°, β = 95.96° and γ = 90.00°. The distinct sites, in fractional coordinates, are Pr at (0.000, 0.029, 0.250), Ho at (0.000, 0.411, 0.750), Er at (0.247, 0.446, 0.451), Tm at (0.061, 0.186, 0.942), Tm at (0.099, 0.389, 0.116) and Tm at (0.209, 0.227, 0.318).

Record 5
# Pr3Ho2ErTm6

Crystalline Pr3Ho2ErTm6 at its relaxed geometry (GGA-PBE, the Alexandria database).

Its theoretical density is 8.47 g/cm³. For the formation energy, the calculation gives 0.03 eV per atom. The crystal system is monoclinic. As for the calculated total energy: -4.547 eV per atom.

It has space group C2/m (No. 12), with a = 6.166 Å, b = 10.674 Å, c = 11.702 Å, α = 90.00°, β = 100.09° and γ = 90.00°. The distinct sites, in fractional coordinates, are Pr at (0.000, 0.000, 0.000), Pr at (0.000, 0.333, 0.000), Ho at (0.000, 0.167, 0.500), Er at (0.000, 0.500, 0.500), Tm at (0.248, 0.000, 0.745) and Tm at (0.248, 0.333, 0.745).

Record 6
# Pr6Ho2ErTm

Crystalline Pr6Ho2ErTm at its relaxed geometry (GGA-PBE, the Alexandria database).

Its theoretical density is 7.32 g/cm³. For the formation energy, the calculation gives 0.12 eV per atom. The crystal system is monoclinic. As for the calculated total energy: -4.570 eV per atom.

It has space group C2/c (No. 15), with a = 9.306 Å, b = 15.402 Å, c = 9.650 Å, α = 90.00°, β = 97.45° and γ = 90.00°. The distinct sites, in fractional coordinates, are Pr at (0.059, 0.175, 0.446), Pr at (0.098, 0.391, 0.617), Pr at (0.215, 0.221, 0.810), Ho at (0.249, 0.048, 0.047), Er at (0.000, 0.028, 0.750) and Tm at (0.000, 0.413, 0.250).

Record 7
# Pr2HoEr2Tm4

Crystalline Pr2HoEr2Tm4 at its relaxed geometry (GGA-PBE, the Alexandria database).

Its theoretical density is 8.54 g/cm³. For the formation energy, the calculation gives 0.03 eV per atom. The crystal system is triclinic. As for the calculated total energy: -4.547 eV per atom.

It has space group P-1 (No. 2), with a = 6.135 Å, b = 6.137 Å, c = 7.930 Å, α = 82.46°, β = 75.05° and γ = 80.45°. The distinct sites, in fractional coordinates, are Pr at (0.168, 0.332, 0.331), Ho at (0.500, 0.000, 0.000), Er at (0.391, 0.777, 0.444), Tm at (0.057, 0.111, 0.781) and Tm at (0.277, 0.555, 0.889).

Record 8
# Pr2Ho4ErTm

Crystalline Pr2Ho4ErTm at its relaxed geometry (GGA-PBE, the Alexandria database).

Its theoretical density is 7.99 g/cm³. For the formation energy, the calculation gives 0.43 eV per atom. The crystal system is monoclinic. As for the calculated total energy: -4.188 eV per atom.

It has space group C2/c (No. 15), with a = 13.628 Å, b = 13.238 Å, c = 6.795 Å, α = 90.00°, β = 119.90° and γ = 90.00°. The distinct sites, in fractional coordinates, are Pr at (0.000, 0.000, 0.000), Pr at (0.250, 0.250, 0.000), Ho at (0.001, 0.256, 0.002), Ho at (0.245, 0.498, 0.493), Er at (0.250, 0.250, 0.500) and Tm at (0.000, 0.500, 0.000).